{"formula": "SmGa4PdRh2", "functional": "PBE", "state": "optimized geometry", "formation_enthalpy_0k_ev_per_atom": -0.67, "magmom_total_mub_per_fu": 0.00, "dft_energy_ev_per_atom": -5.258, "mass_density_g_cm3": 8.9, "lattice_angstrom": [[4.275, 0.000, 0.000], [2.137, 3.702, 0.000], [2.137, 1.234, 8.716]], "species": ["Pd", "Ga", "Ga", "Sm", "Rh", "Rh", "Ga", "Ga"], "fractional_positions": [[0.500, 0.500, 0.500], [0.601, 0.601, 0.198], [0.871, 0.871, 0.387], [0.000, 0.000, 0.000], [0.768, 0.768, 0.696], [0.232, 0.232, 0.304], [0.129, 0.129, 0.613], [0.399, 0.399, 0.802]]}


{"formula": "Sm2Ga5PdRh2", "functional": "PBE", "state": "optimized geometry", "formation_enthalpy_0k_ev_per_atom": -0.62, "magmom_total_mub_per_fu": 0.00, "dft_energy_ev_per_atom": -5.066, "mass_density_g_cm3": 8.6, "lattice_angstrom": [[3.965, 0.000, 0.000], [0.000, 9.681, 0.000], [0.000, 0.000, 9.681]], "species": ["Ga", "Ga", "Ga", "Pd", "Rh", "Ga", "Ga", "Pd", "Rh", "Sm", "Ga", "Ga", "Ga", "Rh", "Sm", "Rh", "Sm", "Ga", "Sm", "Ga"], "fractional_positions": [[0.500, 0.446, 0.302], [0.500, 0.000, 0.500], [0.500, 0.302, 0.554], [0.000, 0.000, 0.000], [0.000, 0.615, 0.885], [0.500, 0.054, 0.802], [0.500, 0.500, 0.000], [0.000, 0.500, 0.500], [0.000, 0.885, 0.385], [0.000, 0.184, 0.316], [0.500, 0.554, 0.698], [0.500, 0.198, 0.054], [0.500, 0.802, 0.946], [0.000, 0.385, 0.115], [0.000, 0.684, 0.184], [0.000, 0.115, 0.615], [0.000, 0.816, 0.684], [0.500, 0.946, 0.198], [0.000, 0.316, 0.816], [0.500, 0.698, 0.446]]}